The following is a DFT calculation (GGA-PBE) of a relaxed structure of SmDyTmZn.

Values from the calculation:
ΔE_f   3 kJ per mole of atoms
Density of states at the Fermi level   18.5 states/eV per cell
M_tot   0.000 μB/f.u.
Energy   -14.96 eV per formula unit

Cell lengths 7.5518, 7.5518, 7.5518 Å; angles 90.00, 90.00, 90.00 degrees
Space group F-43m (No. 216)
Unique sites:
Sm 0.0000 0.0000 0.0000 [4 per cell]
Dy 0.0000 0.0000 0.5000 [4 per cell]
Tm 0.2500 0.2500 0.2500 [4 per cell]
Zn 0.2500 0.2500 0.7500 [4 per cell]